Record 1
Material: CaAc2SmRu
Method: DFT, PBE-GGA
State: relaxed

Structure (CIF):
```
data_CaAc2SmRu
_chemical_formula_sum 'Ca1 Ac2 Sm1 Ru1'
_space_group_name_H-M_alt 'P 4/m m m'
_space_group_IT_number 123
_space_group_name_Hall '-P 4 2'
_cell_length_a 5.8267
_cell_length_b 5.8267
_cell_length_c 5.5907
_cell_angle_alpha 90.00
_cell_angle_beta 90.00
_cell_angle_gamma 90.00
loop_
_atom_site_label
_atom_site_type_symbol
_atom_site_fract_x
_atom_site_fract_y
_atom_site_fract_z
_atom_site_occupancy
Ca1 Ca 0.0000 0.0000 0.0000 1
Ac1 Ac 0.0000 0.5000 0.5000 1
Sm1 Sm 0.5000 0.5000 0.0000 1
Ru1 Ru 0.5000 0.5000 0.5000 1
```

Properties
Energy of formation = -10.6 kJ/mol of atoms

***

Record 2
Material: Er6InIr5
Method: DFT, PBE-GGA
State: relaxed

Structure (CIF):
```
data_Er6InIr5
_chemical_formula_sum 'Er6 In1 Ir5'
_space_group_name_H-M_alt 'P 1 2/m 1'
_space_group_IT_number 10
_space_group_name_Hall '-P 2y'
_cell_length_a 4.7904
_cell_length_b 7.1318
_cell_length_c 7.5586
_cell_angle_alpha 90.00
_cell_angle_beta 107.92
_cell_angle_gamma 90.00
loop_
_atom_site_label
_atom_site_type_symbol
_atom_site_fract_x
_atom_site_fract_y
_atom_site_fract_z
_atom_site_occupancy
Er1 Er 0.0000 0.2341 0.0000 1
Er2 Er 0.3271 0.2450 0.6552 1
In1 In 0.5000 0.5000 0.0000 1
Ir1 Ir 0.1615 0.5000 0.3229 1
Ir2 Ir 0.1673 0.0000 0.3345 1
Ir3 Ir 0.5000 0.0000 0.0000 1
```

Properties
Energy of formation = -75.8 kJ/mol of atoms

***

Record 3
Material: CaRh3F
Method: DFT, PBE-GGA
State: relaxed

Structure (CIF):
```
data_CaRh3F
_chemical_formula_sum 'Ca1 Rh3 F1'
_space_group_name_H-M_alt 'P m -3 m'
_space_group_IT_number 221
_space_group_name_Hall '-P 4 2 3'
_cell_length_a 4.9436
_cell_length_b 4.9436
_cell_length_c 4.9436
_cell_angle_alpha 90.00
_cell_angle_beta 90.00
_cell_angle_gamma 90.00
loop_
_atom_site_label
_atom_site_type_symbol
_atom_site_fract_x
_atom_site_fract_y
_atom_site_fract_z
_atom_site_occupancy
Ca1 Ca 0.0000 0.0000 0.0000 1
Rh1 Rh 0.0000 0.0000 0.5000 1
F1 F 0.5000 0.5000 0.5000 1
```

Properties
Uncorrected formation energy = 1.53 eV per atom
Polymorph energy (0 for the lowest one) = 1322 meV per atom

***

Record 4
Material: Cd2PtPb
Method: DFT, PBE-GGA
State: relaxed

Structure (CIF):
```
data_Cd2PtPb
_chemical_formula_sum 'Cd4 Pt2 Pb2'
_space_group_name_H-M_alt 'I m m 2'
_space_group_IT_number 44
_space_group_name_Hall 'I 2 -2'
_cell_length_a 3.0798
_cell_length_b 4.6849
_cell_length_c 13.3123
_cell_angle_alpha 90.00
_cell_angle_beta 90.00
_cell_angle_gamma 90.00
loop_
_atom_site_label
_atom_site_type_symbol
_atom_site_fract_x
_atom_site_fract_y
_atom_site_fract_z
_atom_site_occupancy
Cd1 Cd 0.0000 0.0000 0.0000 1
Cd2 Cd 0.0000 0.5000 0.1736 1
Pt1 Pt 0.0000 0.5000 0.6799 1
Pb1 Pb 0.0000 0.0000 0.3700 1
```

Properties
Energy of formation = -14.0 kJ/mol of atoms

***

Record 5
Material: CaVH
Method: DFT, PBE-GGA
State: relaxed

Structure (CIF):
```
data_CaVH
_chemical_formula_sum 'Ca2 V2 H2'
_space_group_name_H-M_alt 'P 63/m m c'
_space_group_IT_number 194
_space_group_name_Hall '-P 6c 2c'
_cell_length_a 4.9982
_cell_length_b 4.9982
_cell_length_c 6.1117
_cell_angle_alpha 90.00
_cell_angle_beta 90.00
_cell_angle_gamma 120.00
loop_
_atom_site_label
_atom_site_type_symbol
_atom_site_fract_x
_atom_site_fract_y
_atom_site_fract_z
_atom_site_occupancy
Ca1 Ca 0.3333 0.6667 0.2500 1
V1 V 0.3333 0.6667 0.7500 1
H1 H 0.0000 0.0000 0.0000 1
```

Properties
Polymorph energy (0 for the lowest one) = 1470 meV per atom

***

Record 6
Material: LiZn3Ag
Method: DFT, PBE-GGA
State: relaxed

Structure (CIF):
```
data_LiZn3Ag
_chemical_formula_sum 'Li1 Zn3 Ag1'
_space_group_name_H-M_alt 'P m -3 m'
_space_group_IT_number 221
_space_group_name_Hall '-P 4 2 3'
_cell_length_a 4.9291
_cell_length_b 4.9291
_cell_length_c 4.9291
_cell_angle_alpha 90.00
_cell_angle_beta 90.00
_cell_angle_gamma 90.00
loop_
_atom_site_label
_atom_site_type_symbol
_atom_site_fract_x
_atom_site_fract_y
_atom_site_fract_z
_atom_site_occupancy
Li1 Li 0.0000 0.0000 0.0000 1
Zn1 Zn 0.0000 0.5000 0.5000 1
Ag1 Ag 0.5000 0.5000 0.5000 1
```

Properties
Polymorph energy (0 for the lowest one) = 401 meV per atom
Energy of formation = 27.6 kJ/mol of atoms

***

Q: Which M_tot values were calculated for the entries above? A: 0.00, 0.00, 3.51, 0.00, 9.11, 0.00, in μB per cell.
Q: Which E values were calculated for the entries above? A: -4.953, -6.988, -3.659, -3.040, -3.444, -1.432, in eV per atom.